No. 1
Density functional theory data (GGA-PBE) for PuCr2C after structural relaxation.

```
PuCr2C
1.0
-2.252 1.837 -0.179
-2.008 0.051 2.108
2.387 5.636 4.148
Cr C Pu
2 1 1
Cartesian
1.034 3.857 2.903 Cr
-2.907 3.668 3.174 Cr
-0.936 3.762 3.038 C
0.000 0.000 0.000 Pu
```

Values from the calculation:
- formation enthalpy at 0 K (meV per atom) = 318
- space group = No. 166
- crystal system = trigonal
- uncorrected energy (eV per atom) = -10.382

***

No. 2
Density functional theory data (GGA-PBE) for PuCrC2 after structural relaxation.

```
PuCrC2
1.0
-3.894 -1.167 -3.360
5.641 -1.321 -1.940
-0.530 -6.469 2.861
Pu Cr C
4 4 8
Cartesian
-0.715 -1.710 -2.717 Pu
1.931 -7.247 0.279 Pu
0.171 -5.538 -2.415 Pu
1.045 -3.419 -0.024 Pu
1.215 -3.233 -4.425 Cr
0.001 -5.724 1.986 Cr
-1.841 -5.029 -0.259 Cr
3.057 -3.928 -2.180 Cr
-1.319 -3.606 -1.359 C
2.535 -5.350 -1.080 C
0.428 -7.878 -1.900 C
0.788 -1.078 -0.539 C
1.412 -3.207 -2.592 C
-2.143 -6.333 -1.526 C
-0.196 -5.750 0.154 C
3.359 -2.624 -0.912 C
```

Values from the calculation:
- formation enthalpy at 0 K (meV per atom) = 46
- space group = No. 64
- crystal system = orthorhombic
- uncorrected energy (eV per atom) = -10.555

***

No. 3
Density functional theory data (GGA-PBE) for PuSc2Cr2C4 after structural relaxation.

```
PuSc2Cr2C4
1.0
-0.215 -2.203 -2.218
5.287 3.529 -1.804
1.377 -3.992 3.830
Pu Sc Cr C
1 2 2 4
Cartesian
0.000 0.000 0.000 Pu
4.176 -1.230 -1.397 Sc
2.272 -1.436 1.205 Sc
3.422 1.496 -1.818 Cr
3.026 -4.162 1.626 Cr
3.829 -2.873 0.268 C
2.619 0.207 -0.460 C
5.502 0.881 -1.409 C
0.947 -3.547 1.217 C
```

Values from the calculation:
- formation enthalpy at 0 K (meV per atom) = -181
- space group = No. 12
- crystal system = monoclinic
- uncorrected energy (eV per atom) = -9.419

***

No. 4
Density functional theory data (GGA-PBE) for PuCr2Si2C after structural relaxation.

```
PuCr2Si2C
1.0
3.947 0.000 0.000
0.000 3.947 0.000
0.000 0.000 5.243
Pu Cr Si C
1 2 2 1
Cartesian
0.000 0.000 2.622 Pu
1.974 0.000 0.000 Cr
0.000 1.974 0.000 Cr
1.974 1.974 3.810 Si
1.974 1.974 1.433 Si
0.000 0.000 0.000 C
```

Values from the calculation:
- space group = No. 123
- crystal system = tetragonal
- formation energy from raw total energies (eV per atom) = -0.404
- uncorrected energy (eV per atom) = -9.345

***

No. 5
Density functional theory data (GGA-PBE) for Sm2PuCr2C4 after structural relaxation.

```
Sm2PuCr2C4
1.0
-1.834 2.506 1.525
2.629 -3.628 5.200
4.014 4.047 -1.821
Sm Pu Cr C
2 1 2 4
Cartesian
2.192 1.387 4.282 Sm
2.617 1.537 0.622 Sm
0.000 0.000 0.000 Pu
1.104 -1.502 3.796 Cr
3.705 4.427 1.108 Cr
3.340 3.225 2.643 C
1.469 -0.300 2.261 C
2.496 -1.224 5.015 C
2.313 4.149 -0.111 C
```

Values from the calculation:
- formation enthalpy at 0 K (meV per atom) = -39
- space group = No. 12
- crystal system = monoclinic
- uncorrected energy (eV per atom) = -8.918

***

No. 6
Density functional theory data (GGA-PBE) for Pu2TaCr2C4 after structural relaxation.

```
Pu2TaCr2C4
1.0
-2.487 0.238 -2.033
-0.573 -5.865 2.567
-2.696 3.662 3.726
Pu Ta Cr C
2 1 2 4
Cartesian
-3.853 -2.486 1.872 Pu
-1.902 0.521 2.388 Pu
0.000 0.000 0.000 Ta
-3.853 -0.064 4.707 Cr
-1.902 -1.901 -0.447 Cr
-4.424 -0.239 2.833 C
-1.332 -1.726 1.427 C
-2.339 -4.477 2.338 C
-3.417 2.512 1.922 C
```

Values from the calculation:
- formation enthalpy at 0 K (meV per atom) = -89
- space group = No. 12
- crystal system = monoclinic
- uncorrected energy (eV per atom) = -10.829

***

No. 7
Density functional theory data (GGA-PBE) for TbPu2CrC4 after structural relaxation.

```
TbPu2CrC4
1.0
-0.102 3.426 -0.714
-0.357 -2.873 -5.147
-11.954 -0.163 0.921
Tb Pu Cr C
2 4 2 8
Cartesian
-9.053 -0.372 -0.496 Tb
-3.360 0.762 -4.445 Tb
-6.804 -0.945 -3.563 Pu
-0.684 1.402 -1.757 Pu
-5.609 1.335 -1.378 Pu
-11.729 -1.012 -3.183 Pu
-9.291 0.809 -3.375 Cr
-3.122 -0.419 -1.565 Cr
-1.774 -0.632 -2.778 C
-7.780 1.061 -2.383 C
-10.640 1.022 -2.163 C
-4.633 -0.671 -2.557 C
-5.977 -0.082 0.460 C
0.000 0.000 0.000 C
-9.308 -1.096 -3.928 C
-3.105 1.486 -1.012 C
```

Values from the calculation:
- formation enthalpy at 0 K (meV per atom) = 30
- space group = No. 63
- crystal system = orthorhombic
- uncorrected energy (eV per atom) = -9.947

***

No. 8
Density functional theory data (GGA-PBE) for Pu2Cr2TcC4 after structural relaxation.

```
Pu2Cr2TcC4
1.0
-1.518 -2.551 0.565
4.358 -1.884 -4.877
2.971 -0.749 4.605
Pu Cr Tc C
2 2 1 4
Cartesian
3.347 -4.004 -1.001 Pu
2.464 -1.180 1.294 Pu
5.215 -2.774 1.491 Cr
0.596 -2.410 -1.198 Cr
0.000 0.000 0.000 Tc
3.409 -3.499 1.443 C
2.402 -1.684 -1.150 C
3.996 -3.076 -3.155 C
1.815 -2.107 3.448 C
```

Values from the calculation:
- formation enthalpy at 0 K (meV per atom) = -32
- space group = No. 12
- crystal system = monoclinic
- uncorrected energy (eV per atom) = -10.607

***

No. 9
Density functional theory data (GGA-PBE) for Pu2ThCr2C4 after structural relaxation.

```
Pu2ThCr2C4
1.0
3.436 0.000 0.000
-1.718 6.785 0.173
0.000 -2.270 5.582
Pu Th Cr C
2 1 2 4
Cartesian
1.718 3.940 2.710 Pu
0.000 0.574 3.045 Pu
0.000 0.000 0.000 Th
0.000 2.031 5.683 Cr
1.718 2.484 0.073 Cr
1.718 1.955 4.677 C
0.000 2.559 1.078 C
0.000 5.481 1.580 C
1.718 -0.967 4.176 C
```

Values from the calculation:
- formation enthalpy at 0 K (meV per atom) = 64
- space group = No. 12
- crystal system = monoclinic
- uncorrected energy (eV per atom) = -10.183

***

No. 10
Density functional theory data (GGA-PBE) for TmPu2Cr2C4 after structural relaxation.

```
TmPu2Cr2C4
1.0
3.381 0.000 0.000
-1.691 6.541 0.240
0.000 -2.100 5.559
Tm Pu Cr C
1 2 2 4
Cartesian
0.000 0.000 0.000 Tm
1.691 3.888 2.750 Pu
0.000 0.553 3.048 Pu
0.000 2.087 5.694 Cr
1.691 2.354 0.105 Cr
1.691 2.018 4.694 C
0.000 2.423 1.104 C
0.000 5.387 1.557 C
1.691 -0.946 4.242 C
```

Values from the calculation:
- formation enthalpy at 0 K (meV per atom) = -41
- space group = No. 12
- crystal system = monoclinic
- uncorrected energy (eV per atom) = -9.961

***

No. 11
Density functional theory data (GGA-PBE) for TmPu2CrC4 after structural relaxation.

```
TmPu2CrC4
1.0
-3.009 0.415 -1.675
-1.185 -2.619 5.071
-1.425 10.756 5.223
Tm Pu Cr C
2 4 2 8
Cartesian
-1.654 7.542 4.838 Tm
-3.965 1.009 3.781 Tm
-2.754 4.070 5.954 Pu
-2.277 0.038 0.507 Pu
-2.865 4.481 2.665 Pu
-3.342 8.513 8.112 Pu
-4.389 6.646 5.937 Cr
-1.230 1.905 2.681 Cr
-1.617 0.141 2.939 C
-3.666 5.877 4.449 C
-4.002 8.410 5.679 C
-1.952 2.674 4.169 C
-0.712 5.378 2.612 C
0.000 0.000 0.000 C
-3.351 6.020 7.510 C
-2.268 2.531 1.109 C
```

Values from the calculation:
- formation enthalpy at 0 K (meV per atom) = 42
- space group = No. 63
- crystal system = orthorhombic
- uncorrected energy (eV per atom) = -9.914

***

No. 12
Density functional theory data (GGA-PBE) for PuU2Cr2C4 after structural relaxation.

```
PuU2Cr2C4
1.0
3.145 0.000 0.000
-1.573 7.106 0.205
0.000 -2.215 4.895
Pu U Cr C
1 2 2 4
Cartesian
0.000 0.000 0.000 Pu
1.573 4.106 2.635 U
0.000 0.785 2.464 U
0.000 4.592 0.171 Cr
1.573 0.299 4.929 Cr
1.573 1.997 3.862 C
0.000 2.894 1.238 C
0.000 5.993 1.904 C
1.573 -1.102 3.196 C
```

Values from the calculation:
- formation enthalpy at 0 K (meV per atom) = -74
- space group = No. 12
- crystal system = monoclinic
- uncorrected energy (eV per atom) = -10.412

***

No. 13
Density functional theory data (GGA-PBE) for Pu2UCrC4 after structural relaxation.

```
Pu2UCrC4
1.0
3.353 0.000 0.000
-1.677 5.674 0.000
0.000 0.000 12.047
Pu U Cr C
4 2 2 8
Cartesian
0.000 4.136 6.558 Pu
1.677 1.538 0.534 Pu
1.677 1.538 5.489 Pu
0.000 4.136 11.512 Pu
0.000 1.124 9.035 U
1.677 4.549 3.012 U
1.677 3.802 9.035 Cr
0.000 1.872 3.012 Cr
0.000 3.113 1.649 C
1.677 2.560 7.673 C
1.677 2.560 10.398 C
0.000 3.113 4.374 C
0.000 0.000 6.023 C
0.000 0.000 0.000 C
0.000 4.955 9.035 C
1.677 0.719 3.012 C
```

Values from the calculation:
- formation enthalpy at 0 K (meV per atom) = 129
- space group = No. 63
- crystal system = orthorhombic
- uncorrected energy (eV per atom) = -10.679

***

No. 14
Density functional theory data (GGA-PBE) for RbCr3C after structural relaxation.

```
RbCr3C
1.0
-0.060 5.260 3.060
-5.250 1.503 -2.687
-3.078 -2.666 4.523
Cr C Rb
3 1 1
Cartesian
-2.625 0.752 -1.343 Cr
-1.539 -1.333 2.261 Cr
-0.030 2.630 1.530 Cr
-4.194 2.049 2.448 C
0.000 0.000 0.000 Rb
```

Values from the calculation:
- formation enthalpy at 0 K (meV per atom) = 3581
- space group = No. 221
- crystal system = cubic
- uncorrected energy (eV per atom) = -4.231

***

No. 15
Density functional theory data (GGA-PBE) for RbCr3C after structural relaxation.

```
RbCr3C
1.0
-2.132 3.856 -0.109
-3.501 -1.987 -1.795
-1.620 -0.782 4.024
Cr C Rb
3 1 1
Cartesian
-1.750 -0.993 -0.898 Cr
-0.810 -0.391 2.012 Cr
-1.066 1.928 -0.054 Cr
0.000 0.000 0.000 C
-3.626 0.544 1.060 Rb
```

Values from the calculation:
- formation enthalpy at 0 K (meV per atom) = 1265
- space group = No. 221
- crystal system = cubic
- uncorrected energy (eV per atom) = -6.547

***

No. 16
Density functional theory data (GGA-PBE) for Rb3CrC after structural relaxation.

```
Rb3CrC
1.0
-5.182 1.568 2.897
2.697 -1.081 5.409
1.891 5.837 0.224
Cr C Rb
1 1 3
Cartesian
-0.297 3.162 4.265 Cr
0.000 0.000 0.000 C
1.348 -0.540 2.705 Rb
0.946 2.919 0.112 Rb
-2.591 0.784 1.448 Rb
```

Values from the calculation:
- formation enthalpy at 0 K (meV per atom) = 1387
- space group = No. 221
- crystal system = cubic
- uncorrected energy (eV per atom) = -2.963

***

No. 17
Density functional theory data (GGA-PBE) for RbCrC3 after structural relaxation.

```
RbCrC3
1.0
-3.118 -0.003 2.960
-2.835 -1.232 -2.988
0.850 -4.119 0.892
Cr C Rb
1 3 1
Cartesian
-2.551 -2.677 0.432 Cr
-1.417 -0.616 -1.494 C
0.425 -2.059 0.446 C
-1.559 -0.002 1.480 C
0.000 0.000 0.000 Rb
```

Values from the calculation:
- formation enthalpy at 0 K (meV per atom) = 4732
- space group = No. 221
- crystal system = cubic
- uncorrected energy (eV per atom) = -2.920

***

No. 18
Density functional theory data (GGA-PBE) for RbCrC3 after structural relaxation.

```
RbCrC3
1.0
-3.207 -0.230 -2.370
-2.085 -1.650 2.981
-1.150 3.631 1.205
Cr C Rb
1 3 1
Cartesian
0.000 0.000 0.000 Cr
-1.043 -0.825 1.491 C
-0.575 1.815 0.603 C
-1.604 -0.115 -1.185 C
-3.221 0.875 0.908 Rb
```

Values from the calculation:
- formation enthalpy at 0 K (meV per atom) = 1676
- space group = No. 221
- crystal system = cubic
- uncorrected energy (eV per atom) = -5.977

***

No. 19
Density functional theory data (GGA-PBE) for CrReC3 after structural relaxation.

```
CrReC3
1.0
3.726 0.000 0.000
0.000 3.726 0.000
0.000 0.000 3.726
Re C Cr
1 3 1
Cartesian
1.863 1.863 1.863 Re
0.000 1.863 0.000 C
0.000 0.000 1.863 C
1.863 0.000 0.000 C
0.000 0.000 0.000 Cr
```

Values from the calculation:
- formation enthalpy at 0 K (meV per atom) = 2265
- space group = No. 221
- crystal system = cubic
- uncorrected energy (eV per atom) = -7.683

***

No. 20
Density functional theory data (GGA-PBE) for Cr10ReC3 after structural relaxation.

```
Cr10ReC3
1.0
6.478 0.000 3.740
2.159 6.108 3.740
0.000 0.000 7.480
Cr Re C
20 2 6
Cartesian
0.000 0.000 2.544 Cr
0.734 2.077 1.272 Cr
2.203 0.000 1.272 Cr
5.009 2.077 3.740 Cr
3.313 2.342 5.737 Cr
2.306 3.765 7.480 Cr
4.319 5.189 7.480 Cr
4.275 0.000 5.012 Cr
3.313 2.342 9.223 Cr
6.331 2.342 7.480 Cr
5.325 3.765 5.737 Cr
0.000 0.000 4.936 Cr
3.628 4.030 3.740 Cr
1.425 4.030 5.012 Cr
0.734 2.077 6.208 Cr
4.275 0.000 2.468 Cr
5.325 3.765 9.223 Cr
1.425 4.030 2.468 Cr
4.319 0.919 7.480 Cr
2.203 0.000 6.208 Cr
2.159 1.527 3.740 Re
6.478 4.581 11.221 Re
6.273 4.436 7.480 C
5.296 1.672 9.173 C
3.342 4.436 9.173 C
2.365 1.672 7.480 C
5.296 1.672 5.788 C
3.342 4.436 5.788 C
```

Values from the calculation:
- formation enthalpy at 0 K (meV per atom) = -96
- space group = No. 225
- crystal system = cubic
- uncorrected energy (eV per atom) = -9.836